(1)
The following is a DFT calculation (PBE-GGA) of K2SrFe after structural relaxation.

Lattice parameters (Å, degrees): 4.0227 4.0227 11.3827 90.00 90.00 90.00
Last column: nearest neighbours and their distance in Å.
Space group P4/mmm (No. 123)
Unique sites:
K 0.0000 0.0000 0.1871 [2 per cell]  4 Fe 3.55
Sr 0.5000 0.5000 0.5000 [1 per cell]  4 Sr 4.02
Fe 0.5000 0.5000 0.0000 [1 per cell]  8 K 3.55

Properties
- Distance to the lowest polymorph of the same formula: 216 meV/atom

***

(2)
The following is a DFT calculation (PBE-GGA) of SrBSeN2 after structural relaxation.

Lattice parameters (Å, degrees): 3.9816 3.9816 4.5192 90.00 90.00 90.00
Last column: nearest neighbours and their distance in Å.
Space group P4/mmm (No. 123)
Unique sites:
Sr 0.0000 0.0000 0.0000 [1 per cell]  4 Se 2.82, 8 N 3.01
B 0.5000 0.5000 0.5000 [1 per cell]  4 N 1.99
Se 0.5000 0.5000 0.0000 [1 per cell]  2 B 2.26
N 0.0000 0.5000 0.5000 [2 per cell]  2 B 1.99

Properties
- Distance to the lowest polymorph of the same formula: 0 meV/atom
- E_form (uncorrected): 943.2 meV per atom

***

(3)
The following is a DFT calculation (PBE-GGA) of Li2LaAgH after structural relaxation.

Lattice parameters (Å, degrees): 4.2714 4.2714 5.1655 90.00 90.00 90.00
Last column: nearest neighbours and their distance in Å.
Space group P4/mmm (No. 123)
Unique sites:
Li 0.0000 0.5000 0.0000 [2 per cell]  2 H 2.14
La 0.0000 0.0000 0.5000 [1 per cell]  2 H 2.58
Ag 0.5000 0.5000 0.5000 [1 per cell]  4 La 3.02, 8 Li 3.35
H 0.0000 0.0000 0.0000 [1 per cell]  4 Li 2.14

***

(4)
The following is a DFT calculation (PBE-GGA) of CaZnCuPb after structural relaxation.

Lattice parameters (Å, degrees): 7.0057 7.0057 7.0057 90.00 90.00 90.00
Last column: nearest neighbours and their distance in Å.
Space group F-43m (No. 216)
Unique sites:
Ca 0.0000 0.0000 0.0000 [4 per cell]  4 Cu 3.03, 4 Zn 3.03
Zn 0.2500 0.2500 0.7500 [4 per cell]  4 Pb 3.03, 4 Ca 3.03
Cu 0.2500 0.2500 0.2500 [4 per cell]  4 Pb 3.03, 4 Ca 3.03
Pb 0.0000 0.0000 0.5000 [4 per cell]  4 Zn 3.03, 4 Cu 3.03

***

Number 1: VASP energy -2.27 eV/atom. Number 2: VASP energy -4.76 eV/atom. Number 3: VASP energy -3.18 eV/atom. Number 4: VASP energy -2.87 eV/atom.